{
  "formula": "Ac5NiPt",
  "functional": "PBE-GGA",
  "state": "relaxed",
  "cell": [[5.529, -4.607, 0.000], [5.529, 4.607, 0.000], [-3.951, 0.000, 10.488]],
  "species": ["Ac", "Ac", "Ac", "Ac", "Ac", "Ac", "Ac", "Ac", "Ac", "Ac", "Ni", "Ni", "Pt", "Pt"],
  "frac_coords": [[0.073, 0.749, 0.366], [0.249, 0.751, 0.750], [0.251, 0.927, 0.134], [0.268, 0.365, 0.981], [0.365, 0.268, 0.481], [0.635, 0.732, 0.519], [0.732, 0.635, 0.019], [0.749, 0.073, 0.866], [0.751, 0.249, 0.250], [0.927, 0.251, 0.634], [0.000, 0.500, 0.500], [0.500, 0.000, 0.000], [0.426, 0.574, 0.250], [0.574, 0.426, 0.750]],
  "e_form_ev_per_fu": -1.949,
  "magnetic_moment_mub_per_fu": 0.00,
  "e_tot_ev_per_atom": -4.9019,
  "density_g_cm3": 8.63
}

***

{
  "formula": "Sm12Dy6Tl",
  "functional": "PBE-GGA",
  "state": "relaxed",
  "cell": [[5.990, 3.458, 5.061], [-5.990, 3.458, 5.061], [0.000, -6.917, 5.061]],
  "species": ["Sm", "Sm", "Sm", "Sm", "Sm", "Sm", "Sm", "Sm", "Sm", "Sm", "Sm", "Sm", "Dy", "Dy", "Dy", "Dy", "Dy", "Dy", "Tl"],
  "frac_coords": [[0.038, 0.932, 0.283], [0.068, 0.717, 0.962], [0.137, 0.485, 0.317], [0.283, 0.038, 0.932], [0.317, 0.137, 0.485], [0.485, 0.317, 0.137], [0.515, 0.683, 0.863], [0.683, 0.863, 0.515], [0.717, 0.962, 0.068], [0.863, 0.515, 0.683], [0.932, 0.283, 0.038], [0.962, 0.068, 0.717], [0.209, 0.757, 0.598], [0.243, 0.402, 0.791], [0.402, 0.791, 0.243], [0.598, 0.209, 0.757], [0.757, 0.598, 0.209], [0.791, 0.243, 0.402], [0.500, 0.500, 0.500]],
  "e_form_ev_per_fu": 1.562,
  "magnetic_moment_mub_per_fu": 0.00,
  "e_tot_ev_per_atom": -4.4762,
  "density_g_cm3": 7.88
}

***

{
  "formula": "KTl2RhPb",
  "functional": "PBE-GGA",
  "state": "relaxed",
  "cell": [[5.379, 0.000, 0.000], [0.000, 5.379, 0.000], [0.000, 0.000, 5.423]],
  "species": ["K", "Tl", "Tl", "Rh", "Pb"],
  "frac_coords": [[0.000, 0.000, 0.000], [0.000, 0.500, 0.500], [0.500, 0.000, 0.500], [0.500, 0.500, 0.500], [0.500, 0.500, 0.000]],
  "e_form_ev_per_fu": -0.090,
  "magnetic_moment_mub_per_fu": 0.00,
  "e_tot_ev_per_atom": -3.3960,
  "density_g_cm3": 8.02
}

***

{
  "formula": "K2NaSe",
  "functional": "PBE-GGA",
  "state": "relaxed",
  "cell": [[4.939, 0.000, 0.000], [-2.469, 4.277, 0.000], [0.000, 0.000, 34.759]],
  "species": ["K", "K", "K", "K", "K", "K", "Na", "Na", "Na", "Se", "Se", "Se"],
  "frac_coords": [[0.000, 0.000, 0.127], [0.000, 0.000, 0.873], [0.333, 0.667, 0.540], [0.333, 0.667, 0.793], [0.667, 0.333, 0.207], [0.667, 0.333, 0.460], [0.000, 0.000, 0.000], [0.333, 0.667, 0.667], [0.667, 0.333, 0.333], [0.000, 0.000, 0.500], [0.333, 0.667, 0.167], [0.667, 0.333, 0.833]],
  "formation_energy_uncorrected_ev_per_atom": -0.554,
  "magnetic_moment_mub_per_fu": 0.00,
  "e_tot_ev_per_atom": -2.3039,
  "density_g_cm3": 1.22
}